Entry P
Density functional theory data (PBE) for a geometry-optimized SrSnI2N structure.

Lattice parameters (Å, degrees): 6.389 6.389 4.765 90.00 90.00 90.00
Space group P4/mmm (No. 123)
Unique sites:
Sr 0.000 0.000 0.000 x1
Sn 0.500 0.500 0.500 x1
I 0.000 0.500 0.000 x2
N 0.000 0.000 0.500 x1

Values from the calculation:
The calculation puts the density of states at the Fermi level at 3.67 states/eV/f.u. As for the total moment: 1.3 μB/f.u.

=====

Entry Q
Density functional theory data (PBE) for a geometry-optimized SrSnI2N structure.

Lattice parameters (Å, degrees): 6.359 6.359 4.035 90.00 90.00 90.00
Space group P4/mmm (No. 123)
Unique sites:
Sr 0.000 0.000 0.000 x1
Sn 0.500 0.500 0.500 x1
I 0.000 0.500 0.500 x2
N 0.500 0.500 0.000 x1

Values from the calculation:
The calculation puts the density of states at the Fermi level at 0.82 states/eV/f.u. As for the total moment: 0.0 μB/f.u.

=====

Verdict on stability: entry P comes out at the bottom.

=====

Entry P
Density functional theory data (PBE) for a geometry-optimized SrSnIN2 structure.

Lattice parameters (Å, degrees): 4.897 4.897 6.408 90.00 90.00 90.00
Space group P4/mmm (No. 123)
Unique sites:
Sr 0.000 0.000 0.000 x1
Sn 0.500 0.500 0.500 x1
I 0.000 0.000 0.500 x1
N 0.000 0.500 0.000 x2

Values from the calculation:
The calculation puts the density of states at the Fermi level at 2.39 states/eV/f.u. As for the total moment: 3.0 μB/f.u.

=====

Entry Q
Density functional theory data (PBE) for a geometry-optimized SrSnIN2 structure.

Lattice parameters (Å, degrees): 4.395 4.395 6.005 90.00 90.00 90.00
Space group P4/mmm (No. 123)
Unique sites:
Sr 0.000 0.000 0.000 x1
Sn 0.500 0.500 0.500 x1
I 0.500 0.500 0.000 x1
N 0.000 0.500 0.500 x2

Values from the calculation:
The calculation puts the density of states at the Fermi level at 1.15 states/eV/f.u. As for the total moment: 1.0 μB/f.u.

=====

Verdict on stability: entry P comes out at the bottom.

=====

Entry P
Density functional theory data (PBE) for a geometry-optimized TaSnIN2 structure.

Lattice parameters (Å, degrees): 4.199 4.199 5.674 90.00 90.00 90.00
Space group P4/mmm (No. 123)
Unique sites:
Ta 0.000 0.000 0.000 x1
Sn 0.500 0.500 0.500 x1
I 0.000 0.000 0.500 x1
N 0.000 0.500 0.000 x2

Values from the calculation:
The calculation puts the density of states at the Fermi level at 3.06 states/eV/f.u. As for the total moment: 0.0 μB/f.u.

=====

Entry Q
Density functional theory data (PBE) for a geometry-optimized TaSnIN2 structure.

Lattice parameters (Å, degrees): 4.134 4.134 5.700 90.00 90.00 90.00
Space group P4/mmm (No. 123)
Unique sites:
Ta 0.000 0.000 0.000 x1
Sn 0.500 0.500 0.500 x1
I 0.500 0.500 0.000 x1
N 0.000 0.500 0.500 x2

Values from the calculation:
The calculation puts the density of states at the Fermi level at 4.16 states/eV/f.u. As for the total moment: 0.2 μB/f.u.

=====

Verdict on stability: entry Q comes out at the bottom.

=====

Entry P
Density functional theory data (PBE) for a geometry-optimized SnTe2IN structure.

Lattice parameters (Å, degrees): 6.049 6.049 3.989 90.00 90.00 90.00
Space group P4/mmm (No. 123)
Unique sites:
Sn 0.000 0.000 0.000 x1
Te 0.000 0.500 0.500 x2
I 0.500 0.500 0.500 x1
N 0.500 0.500 0.000 x1

Values from the calculation:
The calculation puts the density of states at the Fermi level at 2.51 states/eV/f.u. As for the total moment: 0.0 μB/f.u.

=====

Entry Q
Density functional theory data (PBE) for a geometry-optimized SnTe2IN structure.

Lattice parameters (Å, degrees): 5.773 5.773 6.155 90.00 90.00 90.00
Space group P4/mmm (No. 123)
Unique sites:
Sn 0.000 0.000 0.000 x1
Te 0.000 0.500 0.000 x2
I 0.000 0.000 0.500 x1
N 0.500 0.500 0.500 x1

Values from the calculation:
The calculation puts the density of states at the Fermi level at 7.65 states/eV/f.u. As for the total moment: 3.5 μB/f.u.

=====

Entry R
Density functional theory data (PBE) for a geometry-optimized SnTe2IN structure.

Lattice parameters (Å, degrees): 5.007 5.007 4.911 90.00 90.00 90.00
Space group P4/mmm (No. 123)
Unique sites:
Sn 0.000 0.000 0.000 x1
Te 0.000 0.500 0.500 x2
I 0.500 0.500 0.000 x1
N 0.500 0.500 0.500 x1

Values from the calculation:
The calculation puts the density of states at the Fermi level at 2.36 states/eV/f.u. As for the total moment: 0.0 μB/f.u.

=====

Verdict on stability: entry Q comes out at the bottom.

=====

Entry P
Density functional theory data (PBE) for a geometry-optimized TlSnIN2 structure.

Lattice parameters (Å, degrees): 4.537 4.537 6.287 90.00 90.00 90.00
Space group P4/mmm (No. 123)
Unique sites:
Tl 0.000 0.000 0.000 x1
Sn 0.500 0.500 0.500 x1
I 0.000 0.000 0.500 x1
N 0.000 0.500 0.000 x2

Values from the calculation:
The calculation puts the density of states at the Fermi level at 3.30 states/eV/f.u. As for the total moment: 2.0 μB/f.u.

=====

Entry Q
Density functional theory data (PBE) for a geometry-optimized TlSnIN2 structure.

Lattice parameters (Å, degrees): 4.469 4.469 6.253 90.00 90.00 90.00
Space group P4/mmm (No. 123)
Unique sites:
Tl 0.000 0.000 0.000 x1
Sn 0.500 0.500 0.500 x1
I 0.500 0.500 0.000 x1
N 0.000 0.500 0.500 x2

Values from the calculation:
The calculation puts the density of states at the Fermi level at 2.78 states/eV/f.u. As for the total moment: 2.3 μB/f.u.

=====

Verdict on stability: entry P comes out at the bottom.

=====

Entry P
Density functional theory data (PBE) for a geometry-optimized VSnI2N structure.

Lattice parameters (Å, degrees): 5.763 5.763 3.732 90.00 90.00 90.00
Space group P4/mmm (No. 123)
Unique sites:
V 0.000 0.000 0.000 x1
Sn 0.500 0.500 0.500 x1
I 0.000 0.500 0.000 x2
N 0.000 0.000 0.500 x1

Values from the calculation:
The calculation puts the density of states at the Fermi level at 2.97 states/eV/f.u. As for the total moment: 1.3 μB/f.u.

=====

Entry Q
Density functional theory data (PBE) for a geometry-optimized VSnI2N structure.

Lattice parameters (Å, degrees): 6.090 6.090 3.871 90.00 90.00 90.00
Space group P4/mmm (No. 123)
Unique sites:
V 0.000 0.000 0.000 x1
Sn 0.500 0.500 0.500 x1
I 0.000 0.500 0.500 x2
N 0.500 0.500 0.000 x1

Values from the calculation:
The calculation puts the density of states at the Fermi level at 4.92 states/eV/f.u. As for the total moment: 3.8 μB/f.u.

=====

Verdict on stability: entry Q comes out at the bottom.

=====

Entry P
Density functional theory data (PBE) for a geometry-optimized SnWIN2 structure.

Lattice parameters (Å, degrees): 4.126 4.126 5.603 90.00 90.00 90.00
Space group P4/mmm (No. 123)
Unique sites:
Sn 0.000 0.000 0.000 x1
W 0.500 0.500 0.500 x1
I 0.500 0.500 0.000 x1
N 0.000 0.500 0.500 x2

Values from the calculation:
The calculation puts the density of states at the Fermi level at 3.53 states/eV/f.u. As for the total moment: 0.0 μB/f.u.

=====

Entry Q
Density functional theory data (PBE) for a geometry-optimized SnWIN2 structure.

Lattice parameters (Å, degrees): 4.142 4.142 6.273 90.00 90.00 90.00
Space group P4/mmm (No. 123)
Unique sites:
Sn 0.000 0.000 0.000 x1
W 0.500 0.500 0.500 x1
I 0.000 0.000 0.500 x1
N 0.000 0.500 0.000 x2

Values from the calculation:
The calculation puts the density of states at the Fermi level at 4.41 states/eV/f.u. As for the total moment: 2.7 μB/f.u.

=====

Verdict on stability: entry Q comes out at the bottom.

=====

Entry P
Density functional theory data (PBE) for a geometry-optimized ZrSnI2N structure.

Lattice parameters (Å, degrees): 6.126 6.126 3.843 90.00 90.00 90.00
Space group P4/mmm (No. 123)
Unique sites:
Zr 0.000 0.000 0.000 x1
Sn 0.500 0.500 0.500 x1
I 0.000 0.500 0.500 x2
N 0.500 0.500 0.000 x1

Values from the calculation:
The calculation puts the density of states at the Fermi level at 3.92 states/eV/f.u. As for the total moment: 2.0 μB/f.u.

=====

Entry Q
Density functional theory data (PBE) for a geometry-optimized ZrSnI2N structure.

Lattice parameters (Å, degrees): 6.022 6.022 4.027 90.00 90.00 90.00
Space group P4/mmm (No. 123)
Unique sites:
Zr 0.000 0.000 0.000 x1
Sn 0.500 0.500 0.500 x1
I 0.000 0.500 0.000 x2
N 0.000 0.000 0.500 x1

Values from the calculation:
The calculation puts the density of states at the Fermi level at 4.12 states/eV/f.u. As for the total moment: 0.0 μB/f.u.

=====

Verdict on stability: entry P comes out at the bottom.

=====

Entry P
Density functional theory data (PBE) for a geometry-optimized SrI3N structure.

Lattice parameters (Å, degrees): 5.085 8.779 9.313 75.77 88.94 86.40
Space group P-1 (No. 2)
Unique sites:
Sr 0.224 0.263 0.426 x2
I 0.223 0.359 0.964 x2
I 0.260 0.921 0.697 x2
I 0.277 0.662 0.353 x2
N 0.103 0.398 0.149 x2

Values from the calculation:
As for the total moment: 1.0 μB/f.u.

=====

Entry Q
Density functional theory data (PBE) for a geometry-optimized SrI3N structure.

Lattice parameters (Å, degrees): 5.235 5.235 5.235 90.00 90.00 90.00
Space group Pm-3m (No. 221)
Unique sites:
Sr 0.000 0.000 0.000 x1
I 0.000 0.500 0.500 x3
N 0.500 0.500 0.500 x1

Values from the calculation:
The calculation puts the density of states at the Fermi level at 1.05 states/eV/f.u. As for the total moment: 0.0 μB/f.u.

=====

Entry R
Density functional theory data (PBE) for a geometry-optimized SrI3N structure.

Lattice parameters (Å, degrees): 6.493 6.493 6.493 90.00 90.00 90.00
Space group Pm-3m (No. 221)
Unique sites:
Sr 0.000 0.000 0.000 x1
I 0.000 0.000 0.500 x3
N 0.500 0.500 0.500 x1

Values from the calculation:
The calculation puts the density of states at the Fermi level at 5.63 states/eV/f.u. As for the total moment: 4.0 μB/f.u.

=====

Verdict on stability: entry R comes out at the bottom.

=====

Entry P
Density functional theory data (PBE) for a geometry-optimized SrIN2 structure.

Lattice parameters (Å, degrees): 6.472 6.472 6.472 90.00 90.00 90.00
Space group Fm-3m (No. 225)
Unique sites:
Sr 0.000 0.000 0.000 x4
I 0.000 0.000 0.500 x4
N 0.250 0.250 0.250 x8

Values from the calculation:
The calculation puts the density of states at the Fermi level at 1.70 states/eV/f.u. As for the total moment: 0.0 μB/f.u.

=====

Entry Q
Density functional theory data (PBE) for a geometry-optimized SrIN2 structure.

Lattice parameters (Å, degrees): 5.239 5.239 12.286 90.00 90.00 90.00
Space group I-42d (No. 122)
Unique sites:
Sr 0.000 0.000 0.000 x4
I 0.000 0.000 0.500 x4
N 0.191 0.250 0.625 x8

Values from the calculation:
The calculation puts the density of states at the Fermi level at 0.87 states/eV/f.u. As for the total moment: 0.0 μB/f.u.

=====

Entry R
Density functional theory data (PBE) for a geometry-optimized SrIN2 structure.

Lattice parameters (Å, degrees): 3.9248 3.9248 20.2175 90.00 90.00 120.00
Space group R-3m (No. 166, hexagonal axes)
Unique sites:
Sr 0.0000 0.0000 0.0000 x3
I 0.0000 0.0000 0.5000 x3
N 0.0000 0.0000 0.3996 x6

Values from the calculation:
The calculation puts the density of states at the Fermi level at 3.23 states/eV/f.u. As for the total moment: 0.0 μB/f.u.

=====

Verdict on stability: entry P comes out at the bottom.

=====

Entry P
Density functional theory data (PBE) for a geometry-optimized SrTaI2N structure.

Lattice parameters (Å, degrees): 6.231 6.231 4.320 90.00 90.00 90.00
Space group P4/mmm (No. 123)
Unique sites:
Sr 0.000 0.000 0.000 x1
Ta 0.500 0.500 0.500 x1
I 0.000 0.500 0.000 x2
N 0.000 0.000 0.500 x1

Values from the calculation:
The calculation puts the density of states at the Fermi level at 5.42 states/eV/f.u. As for the total moment: 2.7 μB/f.u.

=====

Entry Q
Density functional theory data (PBE) for a geometry-optimized SrTaI2N structure.

Lattice parameters (Å, degrees): 5.872 5.872 3.998 90.00 90.00 90.00
Space group P4/mmm (No. 123)
Unique sites:
Sr 0.000 0.000 0.000 x1
Ta 0.500 0.500 0.500 x1
I 0.000 0.500 0.500 x2
N 0.500 0.500 0.000 x1

Values from the calculation:
The calculation puts the density of states at the Fermi level at 1.41 states/eV/f.u. As for the total moment: 1.2 μB/f.u.

=====

Verdict on stability: entry P comes out at the bottom.

=====

Entry P
Density functional theory data (PBE) for a geometry-optimized SrTcIN2 structure.

Lattice parameters (Å, degrees): 4.493 4.493 6.378 90.00 90.00 90.00
Space group P4/mmm (No. 123)
Unique sites:
Sr 0.000 0.000 0.000 x1
Tc 0.500 0.500 0.500 x1
I 0.000 0.000 0.500 x1
N 0.000 0.500 0.000 x2

Values from the calculation:
The calculation puts the density of states at the Fermi level at 4.14 states/eV/f.u. As for the total moment: 4.7 μB/f.u.

=====

Entry Q
Density functional theory data (PBE) for a geometry-optimized SrTcIN2 structure.

Lattice parameters (Å, degrees): 4.146 4.146 5.465 90.00 90.00 90.00
Space group P4/mmm (No. 123)
Unique sites:
Sr 0.000 0.000 0.000 x1
Tc 0.500 0.500 0.500 x1
I 0.500 0.500 0.000 x1
N 0.000 0.500 0.500 x2

Values from the calculation:
The calculation puts the density of states at the Fermi level at 1.84 states/eV/f.u. As for the total moment: 0.2 μB/f.u.

=====

Verdict on stability: entry P comes out at the bottom.